1.
VASP calculation (PBE-GGA) on KMn3Pd after structural relaxation.

Values from the calculation:
total magnetization = 0.00 μB/f.u.
uncorrected energy = -0.293 Ry per atom
formation energy = 2.77 eV/atom

abc: 4.1609 4.1609 4.1609
angles: 90.00 90.00 90.00
Closest atoms and distances in Å follow each position.
Space group Pm-3m (No. 221)
Symmetry-distinct sites (fractional):
K1 0.0000 0.0000 0.0000  6 Mn 2.08
Mn1 0.0000 0.0000 0.5000  2 K 2.08
Pd1 0.5000 0.5000 0.5000  12 Mn 2.94

2.
VASP calculation (PBE-GGA) on PtW3 after structural relaxation.

Values from the calculation:
total magnetization = 0.00 μB/f.u.
uncorrected energy = -0.822 Ry per atom
formation energy = 0.04 eV/atom

abc: 2.7161 9.2874 5.0604
angles: 90.00 90.00 90.00
Closest atoms and distances in Å follow each position.
Space group Imm2 (No. 44)
Symmetry-distinct sites (fractional):
Pt1 0.0000 0.0000 0.0000  2 Pt 2.72, 10 W 2.82-2.91
W1 0.0000 0.2514 0.3259  9 W 2.72-2.87, 3 Pt 2.82-2.86
W2 0.0000 0.5000 0.0093  8 W 2.72-2.86, 4 Pt 2.83-2.91

3.
VASP calculation (PBE-GGA) on Zr2SiPt after structural relaxation.

Values from the calculation:
formation energy without anion corrections = -0.245 eV per atom
total magnetization = 1.87 μB/f.u.
uncorrected energy = -0.543 Ry per atom

abc: 6.6126 6.6126 6.6126
angles: 90.00 90.00 90.00
Closest atoms and distances in Å follow each position.
Space group F-43m (No. 216)
Symmetry-distinct sites (fractional):
Zr1 0.0000 0.0000 0.0000  4 Si 2.86, 4 Zr 2.86
Zr2 0.2500 0.2500 0.2500  4 Zr 2.86, 4 Pt 2.86
Si1 0.2500 0.2500 0.7500  4 Pt 2.86, 4 Zr 2.86
Pt1 0.0000 0.0000 0.5000  4 Zr 2.86, 4 Si 2.86

4.
VASP calculation (PBE-GGA) on Ca2CeSe3 after structural relaxation.

Values from the calculation:
formation energy without anion corrections = -1.892 eV per atom
total magnetization = 1.36 μB/f.u.
uncorrected energy = -0.389 Ry per atom

abc: 4.1967 5.9815 12.7246
angles: 90.00 90.00 90.00
Closest atoms and distances in Å follow each position.
Space group Immm (No. 71)
Symmetry-distinct sites (fractional):
Ca1 0.0000 0.0000 0.1665  6 Se 2.96-2.99
Ce1 0.0000 0.0000 0.5000  6 Se 2.99-3.01
Se1 0.0000 0.5000 0.1694  4 Ca 2.96-2.99, 2 Ce 3.01
Se2 0.0000 0.5000 0.5000  4 Ca 2.98, 2 Ce 2.99

5.
VASP calculation (PBE-GGA) on LaMnBe3 after structural relaxation.

Values from the calculation:
total magnetization = 0.92 μB/f.u.
uncorrected energy = -0.180 Ry per atom
formation energy = 2.60 eV/atom

abc: 4.8216 4.8216 4.8216
angles: 90.00 90.00 90.00
Closest atoms and distances in Å follow each position.
Space group Pm-3m (No. 221)
Symmetry-distinct sites (fractional):
La1 0.0000 0.0000 0.0000  6 Be 2.41
Mn1 0.5000 0.5000 0.5000  12 Be 3.41
Be1 0.0000 0.0000 0.5000  2 La 2.41

6.
VASP calculation (PBE-GGA) on Co2SiAu after structural relaxation.

Values from the calculation:
formation energy without anion corrections = 0.168 eV per atom
total magnetization = 2.98 μB/f.u.
uncorrected energy = -0.409 Ry per atom

abc: 2.7656 2.7656 24.5406
angles: 90.00 90.00 120.00
Closest atoms and distances in Å follow each position.
Space group R3m (No. 160, hexagonal axes)
Symmetry-distinct sites (fractional):
Co1 0.0000 0.0000 0.0000  3 Co 2.45
Co2 0.0000 0.0000 0.2577  3 Si 2.36, 3 Co 2.45
Si1 0.0000 0.0000 0.5201  3 Co 2.36
Au1 0.0000 0.0000 0.7595  6 Au 2.77, 3 Co 2.78, 3 Si 2.80

7.
VASP calculation (PBE-GGA) on TlSb3Cl after structural relaxation.

Values from the calculation:
formation energy without anion corrections = 0.826 eV per atom
total magnetization = 0.00 μB/f.u.
uncorrected energy = -0.183 Ry per atom

abc: 5.7337 5.7337 5.7337
angles: 90.00 90.00 90.00
Closest atoms and distances in Å follow each position.
Space group Pm-3m (No. 221)
Symmetry-distinct sites (fractional):
Tl1 0.0000 0.0000 0.0000  6 Sb 2.87
Sb1 0.0000 0.0000 0.5000  2 Tl 2.87
Cl1 0.5000 0.5000 0.5000  12 Sb 4.05

8.
VASP calculation (PBE-GGA) on NaAgH2 after structural relaxation.

Values from the calculation:
total magnetization = 0.00 μB/f.u.
uncorrected energy = -0.192 Ry per atom

abc: 3.2126 3.2126 15.8132
angles: 90.00 90.00 120.00
Closest atoms and distances in Å follow each position.
Space group R-3m (No. 166, hexagonal axes)
Symmetry-distinct sites (fractional):
Na1 0.0000 0.0000 0.0000  6 H 2.37
Ag1 0.0000 0.0000 0.5000  6 H 2.19
H1 0.0000 0.0000 0.2397  3 Ag 2.19, 3 Na 2.37

9.
VASP calculation (PBE-GGA) on HfTa2SiNi after structural relaxation.

Values from the calculation:
formation energy without anion corrections = 0.838 eV per atom
total magnetization = 0.00 μB/f.u.
uncorrected energy = -0.598 Ry per atom

abc: 4.6164 4.6164 4.7799
angles: 90.00 90.00 90.00
Closest atoms and distances in Å follow each position.
Space group P4/mmm (No. 123)
Symmetry-distinct sites (fractional):
Hf1 0.0000 0.0000 0.0000  2 Si 2.39
Ta1 0.0000 0.5000 0.5000  2 Si 2.31
Si1 0.0000 0.0000 0.5000  4 Ta 2.31, 2 Hf 2.39
Ni1 0.5000 0.5000 0.0000  4 Hf 3.26, 8 Ta 3.32

10.
VASP calculation (PBE-GGA) on TcGeSb2Os after structural relaxation.

Values from the calculation:
formation energy without anion corrections = 1.168 eV per atom
total magnetization = 2.41 μB/f.u.
uncorrected energy = -0.421 Ry per atom

abc: 5.2180 5.2180 4.6258
angles: 90.00 90.00 90.00
Closest atoms and distances in Å follow each position.
Space group P4/mmm (No. 123)
Symmetry-distinct sites (fractional):
Tc1 0.0000 0.0000 0.0000  8 Sb 3.49, 4 Ge 3.69
Ge1 0.5000 0.5000 0.0000  2 Os 2.31
Sb1 0.0000 0.5000 0.5000  2 Os 2.61
Os1 0.5000 0.5000 0.5000  2 Ge 2.31

11.
VASP calculation (PBE-GGA) on In4Ga5Sn2 after structural relaxation.

Values from the calculation:
total magnetization = 0.00 μB/f.u.
uncorrected energy = -0.223 Ry per atom
formation energy = 0.07 eV/atom

abc: 6.7258 4.2977 9.5935
angles: 90.00 101.77 90.00
Closest atoms and distances in Å follow each position.
Space group P2/m (No. 10)
Symmetry-distinct sites (fractional):
In1 0.1540 0.0000 0.1658  4 Ga 2.89-3.08, 2 Sn 3.19
In2 0.2609 0.0000 0.6202  8 Ga 3.05-3.19
Ga1 0.0908 0.5000 0.3823  2 Ga 2.75-2.78, 1 Sn 3.04, 2 In 3.08
Ga2 0.4468 0.5000 0.2123  1 Ga 2.71, 1 Sn 2.81, 2 In 2.89
Ga3 0.5000 0.5000 0.5000  4 Ga 2.71-2.75
Sn1 0.2023 0.5000 0.9047  3 Ga 2.81-3.07

12.
VASP calculation (PBE-GGA) on Tb2Nd4Sm2Dy after structural relaxation.

Values from the calculation:
total magnetization = 0.00 μB/f.u.
uncorrected energy = -0.345 Ry per atom
formation energy = 0.02 eV/atom

abc: 15.4061 5.1358 8.0949
angles: 90.00 108.56 90.00
Closest atoms and distances in Å follow each position.
Space group C2/m (No. 12)
Symmetry-distinct sites (fractional):
Tb1 0.1667 0.0000 0.9999  5 Nd 3.61-3.62, 3 Sm 3.61, 2 Tb 3.63, 2 Dy 3.63
Nd1 0.0548 0.0000 0.3313  2 Tb 3.61-3.62, 2 Dy 3.61, 4 Sm 3.63-3.65, 4 Nd 3.64-3.65
Nd2 0.2221 0.5000 0.3312  3 Tb 3.61, 1 Dy 3.61, 3 Sm 3.63-3.66, 5 Nd 3.64-3.65
Sm1 0.1115 0.5000 0.6695  3 Tb 3.61, 1 Dy 3.61, 7 Nd 3.63-3.66, 1 Sm 3.65
Dy1 0.0000 0.5000 0.0000  2 Sm 3.61, 6 Nd 3.61, 4 Tb 3.63

13.
VASP calculation (PBE-GGA) on ThZr3Pa2N6 after structural relaxation.

Values from the calculation:
formation energy without anion corrections = -1.632 eV per atom
total magnetization = 0.00 μB/f.u.
uncorrected energy = -0.745 Ry per atom

abc: 5.8324 10.0973 6.0060
angles: 90.00 108.93 90.00
Closest atoms and distances in Å follow each position.
Space group C2/m (No. 12)
Symmetry-distinct sites (fractional):
Th1 0.0000 0.0000 0.0000  6 N 2.52-2.53
Zr1 0.0000 0.1653 0.5000  6 N 2.30-2.35
Zr2 0.0000 0.5000 0.5000  6 N 2.30-2.35
Pa1 0.0000 0.3329 0.0000  6 N 2.46-2.47
N1 0.2380 0.3292 0.7262  3 Zr 2.30-2.35, 2 Pa 2.47, 1 Th 2.53
N2 0.2474 0.5000 0.2701  3 Zr 2.30-2.35, 2 Pa 2.46, 1 Th 2.52

14.
VASP calculation (PBE-GGA) on Tb2SbAs after structural relaxation.

Values from the calculation:
formation energy without anion corrections = -1.225 eV per atom
total magnetization = 0.00 μB/f.u.
uncorrected energy = -0.421 Ry per atom

abc: 4.2289 4.2289 21.6936
angles: 90.00 90.00 120.00
Closest atoms and distances in Å follow each position.
Space group R3m (No. 160, hexagonal axes)
Symmetry-distinct sites (fractional):
Tb1 0.0000 0.0000 0.0000  3 As 2.93, 3 Sb 3.12
Tb2 0.0000 0.0000 0.1811  3 As 2.97, 3 Sb 3.14
Sb1 0.0000 0.0000 0.4231  6 Tb 3.12-3.14
As1 0.0000 0.0000 0.5924  6 Tb 2.93-2.97

15.
VASP calculation (PBE-GGA) on InCo4P after structural relaxation.

Values from the calculation:
total magnetization = 6.15 μB/f.u.
uncorrected energy = -0.425 Ry per atom
formation energy = 0.31 eV/atom

abc: 6.8477 6.8477 6.8477
angles: 90.00 90.00 90.00
Closest atoms and distances in Å follow each position.
Space group F-43m (No. 216)
Symmetry-distinct sites (fractional):
In1 0.0000 0.0000 0.0000  12 Co 2.84, 4 P 2.97
Co1 0.1245 0.1245 0.3755  6 Co 2.41-2.43
P1 0.2500 0.2500 0.7500  12 Co 2.84, 4 In 2.97

16.
VASP calculation (PBE-GGA) on Hg2SbF6 after structural relaxation.

Values from the calculation:
formation energy without anion corrections = -1.805 eV per atom
total magnetization = 0.81 μB/f.u.
uncorrected energy = -0.263 Ry per atom

abc: 6.4745 6.4745 10.6871
angles: 90.00 90.00 90.00
Closest atoms and distances in Å follow each position.
Space group P4_2/mnm (No. 136)
Symmetry-distinct sites (fractional):
Hg1 0.0000 0.0000 0.1309  1 Hg 2.80, 4 F 2.90-3.01
Sb1 0.0000 0.0000 0.5000  6 F 1.92-1.93
F1 0.1482 0.1482 0.3712  1 Sb 1.93
F2 0.2094 0.7906 0.5000  1 Sb 1.92

17.
VASP calculation (PBE-GGA) on Cu2ReCl after structural relaxation.

Values from the calculation:
formation energy without anion corrections = 0.406 eV per atom
total magnetization = 0.00 μB/f.u.
uncorrected energy = -0.383 Ry per atom

abc: 2.9105 4.8826 8.1985
angles: 90.00 90.00 90.00
Closest atoms and distances in Å follow each position.
Space group Cmmm (No. 65)
Symmetry-distinct sites (fractional):
Cu1 0.0000 0.0000 0.2417  2 Cl 2.46, 2 Re 2.57
Re1 0.0000 0.5000 0.5000  4 Cu 2.57, 4 Re 2.84
Cl1 0.0000 0.5000 0.0000  4 Cu 2.46

18.
VASP calculation (PBE-GGA) on U2Co5P4 after structural relaxation.

Values from the calculation:
total magnetization = 5.64 μB/f.u.
uncorrected energy = -0.575 Ry per atom
formation energy = -0.58 eV/atom

abc: 5.1094 9.2097 13.0567
angles: 90.00 90.00 90.00
Closest atoms and distances in Å follow each position.
Space group Fmmm (No. 69)
Symmetry-distinct sites (fractional):
U1 0.0000 0.0000 0.1357  6 P 2.93-3.18, 10 Co 3.03-3.17
Co1 0.0000 0.0000 0.5000  4 P 2.21
Co2 0.2500 0.2500 0.0000  4 P 2.30, 2 Co 2.55
Co3 0.2500 0.2500 0.2500  4 P 2.20
P1 0.0000 0.1545 0.3700  5 Co 2.20-2.30

19.
VASP calculation (PBE-GGA) on Cd2InPt8 after structural relaxation.

Values from the calculation:
total magnetization = 0.00 μB/f.u.
uncorrected energy = -0.368 Ry per atom
formation energy = -0.20 eV/atom

abc: 3.9455 8.2598 11.9068
angles: 90.00 90.00 90.00
Closest atoms and distances in Å follow each position.
Space group Immm (No. 71)
Symmetry-distinct sites (fractional):
Cd1 0.0000 0.0000 0.1393  10 Pt 2.77-3.03
In1 0.0000 0.0000 0.5000  12 Pt 2.75-2.91
Pt1 0.0000 0.2413 0.3308  7 Pt 2.76-2.82, 1 In 2.83, 3 Cd 2.93-3.03
Pt2 0.0000 0.2684 0.0000  2 In 2.75, 2 Cd 2.77, 6 Pt 2.82-2.87
Pt3 0.0000 0.5000 0.1801  8 Pt 2.79-2.87, 2 In 2.91, 2 Cd 2.92

20.
VASP calculation (PBE-GGA) on HfAuN2 after structural relaxation.

Values from the calculation:
formation energy without anion corrections = 0.431 eV per atom
total magnetization = 0.00 μB/f.u.
uncorrected energy = -0.517 Ry per atom

abc: 5.7452 5.7452 5.7452
angles: 90.00 90.00 90.00
Closest atoms and distances in Å follow each position.
Space group Fm-3m (No. 225)
Symmetry-distinct sites (fractional):
Hf1 0.0000 0.0000 0.0000  8 N 2.49
Au1 0.0000 0.0000 0.5000  8 N 2.49
N1 0.2500 0.2500 0.2500  4 Hf 2.49, 4 Au 2.49